Record 1
The following is a DFT calculation (PBE-GGA) of a relaxed structure of LiTi2IrN.

## Properties
- Total magnetic moment: 0.0 μB per formula unit
- Formation energy from raw total energies: -83 kJ per mole of atoms
- Final energy: -39.18 eV for the cell shown

Cell lengths 4.108, 4.108, 3.735 Å; angles 90.00, 90.00, 90.00 degrees
Space group P4/mmm (No. 123)
Unique sites:
Li  0.000  0.000  0.000 x1
Ti  0.000  0.500  0.500 x2
Ir  0.500  0.500  0.000 x1
N  0.000  0.000  0.500 x1

=====

Record 2
The following is a DFT calculation (PBE-GGA) of a relaxed structure of Li2TlIrN.

## Properties
- Total magnetic moment: 0.0 μB per formula unit
- Formation energy from raw total energies: -26 kJ per mole of atoms
- Final energy: -24.72 eV for the cell shown

Cell lengths 4.464, 4.464, 3.764 Å; angles 90.00, 90.00, 90.00 degrees
Space group P4/mmm (No. 123)
Unique sites:
Li  0.000  0.500  0.000 x2
Tl  0.000  0.000  0.500 x1
Ir  0.500  0.500  0.500 x1
N  0.500  0.500  0.000 x1

=====

Record 3
The following is a DFT calculation (PBE-GGA) of a relaxed structure of LiY2IrN.

## Properties
- Total magnetic moment: 0.0 μB per formula unit
- Formation energy from raw total energies: -81 kJ per mole of atoms
- Final energy: -36.21 eV for the cell shown

Cell lengths 4.780, 4.780, 3.811 Å; angles 90.00, 90.00, 90.00 degrees
Space group P4/mmm (No. 123)
Unique sites:
Li  0.000  0.000  0.000 x1
Y  0.000  0.500  0.500 x2
Ir  0.500  0.500  0.000 x1
N  0.000  0.000  0.500 x1

=====

Record 4
The following is a DFT calculation (PBE-GGA) of a relaxed structure of NaLi2Ir2.

## Properties
- Total magnetic moment: 0.0 μB per formula unit
- Final energy: -44.55 eV for the cell shown
- Energy relative to the elements: 0.119 eV/atom

Cell lengths 7.958, 7.958, 2.541 Å; angles 90.00, 90.00, 90.00 degrees
Space group P4/mbm (No. 127)
Unique sites:
Na  0.000  0.000  0.000 x2
Li  0.175  0.325  0.500 x4
Ir  0.115  0.615  0.000 x4

=====

Record 5
The following is a DFT calculation (PBE-GGA) of a relaxed structure of NaLiIr2.

## Properties
- Total magnetic moment: 0.0 μB per formula unit
- E above lowest polymorph: 328 meV per atom
- Final energy: -71.85 eV for the cell shown
- Energy relative to the elements: 0.748 eV/atom

Cell lengths 6.145, 6.145, 6.145 Å; angles 90.00, 90.00, 90.00 degrees
Space group Fm-3m (No. 225)
Unique sites:
Na  0.000  0.000  0.000 x4
Li  0.000  0.000  0.500 x4
Ir  0.250  0.250  0.250 x8

=====

Record 6
The following is a DFT calculation (PBE-GGA) of a relaxed structure of NaLiIr2.

## Properties
- Total magnetic moment: 0.0 μB per formula unit
- E above lowest polymorph: 0 meV per atom
- Final energy: -77.11 eV for the cell shown
- Energy relative to the elements: 0.420 eV/atom

Cell lengths 3.673, 3.673, 19.680 Å; angles 90.00, 90.00, 90.00 degrees
Space group I-42d (No. 122)
Unique sites:
Na  0.000  0.000  0.000 x4
Li  0.000  0.000  0.500 x4
Ir  0.238  0.750  0.625 x8